Entry 1:
Material: SiPtW2
Method: DFT, GGA-PBE
State: relaxed

Unit cell a=4.9481 b=4.9481 c=2.7547 alpha=90.00 beta=90.00 gamma=116.03
Closest atoms and distances in Å follow each position.
Atoms (fractional coordinates):
Si: 0.0000 0.0000 0.0000  2 Pt 2.62, 2 Si 2.75, 8 W 2.83
Pt: 0.5000 0.5000 0.0000  2 Si 2.62, 2 Pt 2.75, 8 W 2.83
W: 0.0000 0.5000 0.5000  4 W 2.62-2.75, 4 Pt 2.83, 4 Si 2.83
W: 0.5000 0.0000 0.5000  4 W 2.62-2.75, 4 Pt 2.83, 4 Si 2.83

The uncorrected formation energy comes out at 0.22 kcal/mol of atoms. The calculation puts the density of states at the Fermi level at 0.65 states/eV/atom. The spin magnetization comes out at 0.0 μB per formula unit. The total energy is -9.333 eV per atom.

Entry 2:
Material: SiPtW2
Method: DFT, GGA-PBE
State: relaxed

Unit cell a=2.8957 b=2.8957 c=7.0933 alpha=90.00 beta=90.00 gamma=90.00
Closest atoms and distances in Å follow each position.
Atoms (fractional coordinates):
Si: 0.0000 0.0000 0.0000  8 W 2.59, 4 Si 2.90
Pt: 0.0000 0.0000 0.5000  8 W 2.84, 4 Pt 2.90
W: 0.5000 0.5000 0.2229  4 Si 2.59, 4 Pt 2.84, 4 W 2.90
W: 0.5000 0.5000 0.7771  4 Si 2.59, 4 Pt 2.84, 4 W 2.90

The uncorrected formation energy comes out at -2.13 kcal/mol of atoms. The calculation puts the density of states at the Fermi level at 0.47 states/eV/atom. The spin magnetization comes out at 0.0 μB per formula unit. The total energy is -9.435 eV per atom.

Entry 3:
Material: SiPtW2
Method: DFT, GGA-PBE
State: relaxed

Unit cell a=2.7585 b=4.1355 c=5.3659 alpha=90.00 beta=98.68 gamma=90.00
Closest atoms and distances in Å follow each position.
Atoms (fractional coordinates):
Si: 0.0000 0.0000 0.0000  4 W 2.60, 2 Pt 2.68, 2 Si 2.76
Pt: 0.0000 0.0000 0.5000  2 Si 2.68, 2 Pt 2.76, 8 W 2.85-2.87
W: 0.4288 0.5000 0.2325  4 W 2.58-2.84, 2 Si 2.60, 4 Pt 2.85-2.87
W: 0.5712 0.5000 0.7675  4 W 2.58-2.84, 2 Si 2.60, 4 Pt 2.85-2.87

The uncorrected formation energy comes out at -1.50 kcal/mol of atoms. The calculation puts the density of states at the Fermi level at 0.69 states/eV/atom. The spin magnetization comes out at 0.0 μB per formula unit. The total energy is -9.408 eV per atom.